Computed, not measured: a geometry-optimized CaPuVO6 structure at the PBE+U level of DFT.

a = 5.365 Å, b = 5.365 Å, c = 9.955 Å
α = 90.00°, β = 90.00°, γ = 120.00°
Site moments in Bohr magnetons follow the coordinates.
Sites, in units of the cell vectors:
1 Ca 0.000 0.000 0.000  0.00
2 Ca 0.000 0.000 0.500  0.00
3 Pu 0.333 0.667 0.250  2.70
4 Pu 0.667 0.333 0.750  2.70
5 V 0.667 0.333 0.250  0.89
6 V 0.333 0.667 0.750  0.89
7 O 0.643 0.626 0.143  -0.10
8 O 0.983 0.357 0.143  -0.10
9 O 0.357 0.983 0.643  -0.10
10 O 0.017 0.643 0.857  -0.10
11 O 0.374 0.357 0.357  -0.10
12 O 0.983 0.626 0.357  -0.10
13 O 0.626 0.983 0.857  -0.10
14 O 0.643 0.017 0.357  -0.10
15 O 0.017 0.374 0.643  -0.10
16 O 0.374 0.017 0.143  -0.10
17 O 0.626 0.643 0.643  -0.10
18 O 0.357 0.374 0.857  -0.10

Total DFT energy (no corrections) = -152.2 eV for the cell shown